(1)
Material: Zn2AsOs
Method: DFT, PBE
State: relaxed

Structure (POSCAR):
```
Zn2AsOs
1.0
4.759 0.000 0.000
1.515 4.512 0.000
-3.137 -2.256 2.779
As Os Zn
1 1 2
direct
0.500 0.500 0.000
0.750 0.250 0.500
0.000 0.000 0.000
0.250 0.750 0.500
```

calculated volume	14.9	Å³/atom
density	11.020	Mg/m³
energy of formation	293	meV per atom

(2)
Material: ZnAsOs3
Method: DFT, PBE
State: relaxed

Structure (POSCAR):
```
ZnAsOs3
1.0
-3.006 -2.948 -1.608
1.107 -2.908 3.261
-3.170 1.780 2.663
As Os Zn
1 3 1
direct
0.500 0.500 0.500
0.000 0.500 0.000
0.000 0.000 0.500
0.500 0.000 0.000
0.000 0.000 0.000
```

calculated volume	18.3	Å³/atom
density	12.898	Mg/m³
energy relative to the lowest polymorph listed for this composition	590.8	meV/atom
energy of formation	2190	meV per atom

(3)
Material: Zn2AsOs
Method: DFT, PBE
State: relaxed

Structure (POSCAR):
```
Zn2AsOs
1.0
3.269 0.000 0.000
0.000 4.195 0.000
0.000 0.000 4.372
As Os Zn
1 1 2
direct
0.500 0.000 0.500
0.000 0.500 0.500
0.000 0.000 0.000
0.500 0.500 0.000
```

calculated volume	15.0	Å³/atom
density	10.968	Mg/m³
energy of formation	382	meV per atom

(4)
Material: ZnAsOs
Method: DFT, PBE
State: relaxed

Structure (POSCAR):
```
ZnAsOs
1.0
6.158 0.024 0.000
4.687 3.994 0.000
-5.423 -2.009 2.117
As Os Zn
1 1 1
direct
0.963 0.963 0.000
0.340 0.340 0.000
0.697 0.697 0.000
```

calculated volume	17.3	Å³/atom
density	10.593	Mg/m³
energy relative to the lowest polymorph listed for this composition	17.5	meV/atom
energy of formation	172	meV per atom